This record from Alexandria describes a relaxed structure of GdAlNiAu. The functional is PBE.

Cell and atoms, written as POSCAR:
```
GdAlNiAu
1.0
4.7084 0.0000 0.0000
2.3542 4.0776 0.0000
2.3542 1.3592 3.8444
Gd Al Ni Au
1 1 1 1
direct
0.5000 0.5000 0.5000
0.0000 0.0000 0.0000
0.7500 0.7500 0.7500
0.2500 0.2500 0.2500
```

Output
Space group: No. 216
DFT total energy (eV/cell): -28.783
Size of the total moment (μB/f.u.): 7.17
Calculated volume (Å³ per cell): 73.8
Calculated formation energy (eV per atom): -0.475